1.
CsNiIrCl6 PBE-GGA relaxed; energy relative to the elements, uncorrected = -7.8 eV/f.u.; DFT total energy = -3.815 eV/atom
1.0
6.248 0.000 0.000
-3.124 5.411 0.000
0.000 0.000 7.911
Cs Ni Ir Cl
1 1 1 6
Cartesian
0.000 0.000 0.000
0.000 3.607 3.956
3.124 1.804 3.956
2.270 0.037 5.275
1.167 1.948 2.636
3.978 0.037 2.636
2.021 3.427 5.275
5.081 1.948 5.275
4.228 3.427 2.636

=====

2.
LaAgTeRh2 PBE-GGA relaxed; energy relative to the elements, uncorrected = 1.9 eV/f.u.; DFT total energy = -4.748 eV/atom
1.0
4.971 0.000 0.000
0.000 4.971 0.000
0.000 0.000 5.082
La Ag Te Rh
1 1 1 2
Cartesian
0.000 0.000 0.000
2.485 2.485 2.541
2.485 2.485 0.000
0.000 2.485 2.541
2.485 0.000 2.541

=====

3.
NaBe2Si2 PBE-GGA relaxed; energy relative to the elements, uncorrected = 0.3 eV/f.u.; energy above the lowest structure with this stoichiometry = 0 meV per atom; DFT total energy = -3.858 eV/atom
1.0
3.840 0.000 0.000
0.000 3.840 0.000
0.000 0.000 9.925
Na Be Si
2 4 4
Cartesian
0.000 0.000 0.000
1.920 1.920 4.963
0.000 1.920 2.481
0.000 1.920 7.444
1.920 0.000 2.481
1.920 0.000 7.444
0.000 0.000 3.767
0.000 0.000 6.159
1.920 1.920 1.196
1.920 1.920 8.729

=====

4.
Y2MgIr PBE-GGA relaxed; DFT total energy = -6.337 eV/atom; E_form = -0.49 eV per atom
1.0
3.557 0.000 0.000
0.000 3.557 0.000
0.000 0.000 7.594
Y Mg Ir
2 1 1
Cartesian
0.000 0.000 1.607
0.000 0.000 5.988
1.778 1.778 3.797
1.778 1.778 0.000

=====

5.
LiAlRh2 PBE-GGA relaxed; DFT total energy = -5.596 eV/atom; E_form = -0.51 eV per atom
1.0
8.201 0.000 0.000
0.000 2.834 0.000
-1.108 0.000 4.679
Li Al Rh
2 2 4
Cartesian
0.000 0.000 0.000
4.100 1.417 0.000
-0.554 1.417 2.340
3.546 0.000 2.340
1.165 0.000 3.517
1.828 1.417 1.163
5.265 1.417 3.517
5.928 0.000 1.163

=====

6.
Sr3LaI PBE-GGA relaxed; energy relative to the elements, uncorrected = -0.3 eV/f.u.; energy above the lowest structure with this stoichiometry = 0 meV per atom; DFT total energy = -2.366 eV/atom
1.0
6.325 0.000 0.000
0.000 6.325 0.000
0.000 0.000 6.325
Sr La I
3 1 1
Cartesian
0.000 0.000 3.162
0.000 3.162 0.000
3.162 0.000 0.000
3.162 3.162 3.162
0.000 0.000 0.000

=====

Question: Number 1 is which compound?
Answer: CsNiIrCl6

=====

Question: The highest DFT total energy belongs to which entry?
Answer: Sr3LaI

=====

Please write out number 4 again, unchanged.
Y2MgIr PBE-GGA relaxed; DFT total energy = -6.337 eV/atom; E_form = -0.49 eV per atom
1.0
3.557 0.000 0.000
0.000 3.557 0.000
0.000 0.000 7.594
Y Mg Ir
2 1 1
Cartesian
0.000 0.000 1.607
0.000 0.000 5.988
1.778 1.778 3.797
1.778 1.778 0.000